First-principles (PBE) data for an optimized crystal structure of Rb2ScSnBr6, as listed in Alexandria via LeMat-Bulk.

Unit cell a=7.9503 b=7.9503 c=12.1790 alpha=90.00 beta=90.00 gamma=90.00
Space group I4/mmm (No. 139)
Symmetry-distinct sites (fractional):
1 Rb 0.0000 0.5000 0.2500 (multiplicity 4)
2 Sc 0.0000 0.0000 0.0000 (multiplicity 2)
3 Sn 0.0000 0.0000 0.5000 (multiplicity 2)
4 Br 0.0000 0.0000 0.2208 (multiplicity 4)
5 Br 0.2385 0.2385 0.0000 (multiplicity 8)

Results
The calculation puts the formation energy (no corrections) at -1.35 eV/atom. The calculation puts the total energy at -3.59 eV per atom. For the density of states at the Fermi level, the calculation gives 4.65 states/eV per cell. Its crystal system is tetragonal.